Compound: CdGaP2F
Source: Alexandria
Functional: PBE
Structure: optimized geometry

Lattice parameters (Å, degrees): 5.024 5.024 4.302 90.00 90.00 90.00
Element x y z (fractional)
Cd1 0.000 0.000 0.000
Ga1 0.500 0.500 0.500
P1 0.000 0.500 0.000
P2 0.500 0.000 0.000
F1 0.000 0.000 0.500

Output
V: 21.72 Å³ per atom
SG: P4/mmm (123)
Raw total energy: -15.28 eV for the cell shown
Crystal system: tetragonal
Formation energy from raw total energies: 0.271 eV per atom